Record 1
# GGA-PBE TcSIO2, relaxed
data_TcSIO2
_cell_length_a 3.8250
_cell_length_b 3.8250
_cell_length_c 5.9319
_cell_angle_alpha 90.00
_cell_angle_beta 90.00
_cell_angle_gamma 90.00
_space_group_name_H-M_alt 'P 4/m m m'
_space_group_IT_number 123
_space_group_name_Hall '-P 4 2'
loop_
_atom_site_label
_atom_site_type_symbol
_atom_site_fract_x
_atom_site_fract_y
_atom_site_fract_z
_atom_site_occupancy
Tc1 Tc 0.0000 0.0000 0.0000 1
S1 S 0.5000 0.5000 0.5000 1
I1 I 0.0000 0.0000 0.5000 1
O1 O 0.0000 0.5000 0.0000 1
# * uncorrected energy: -5.61 eV/atom

***

Record 2
# GGA-PBE TcSIO2, relaxed
data_TcSIO2
_cell_length_a 3.7577
_cell_length_b 3.7577
_cell_length_c 6.4544
_cell_angle_alpha 90.00
_cell_angle_beta 90.00
_cell_angle_gamma 90.00
_space_group_name_H-M_alt 'P 4/m m m'
_space_group_IT_number 123
_space_group_name_Hall '-P 4 2'
loop_
_atom_site_label
_atom_site_type_symbol
_atom_site_fract_x
_atom_site_fract_y
_atom_site_fract_z
_atom_site_occupancy
Tc1 Tc 0.0000 0.0000 0.0000 1
S1 S 0.5000 0.5000 0.5000 1
I1 I 0.5000 0.5000 0.0000 1
O1 O 0.0000 0.5000 0.5000 1
# * uncorrected energy: -4.42 eV/atom

***

Record 3
# GGA-PBE TcSI2O, relaxed
data_TcSI2O
_cell_length_a 5.5167
_cell_length_b 5.5167
_cell_length_c 3.7343
_cell_angle_alpha 90.00
_cell_angle_beta 90.00
_cell_angle_gamma 90.00
_space_group_name_H-M_alt 'P 4/m m m'
_space_group_IT_number 123
_space_group_name_Hall '-P 4 2'
loop_
_atom_site_label
_atom_site_type_symbol
_atom_site_fract_x
_atom_site_fract_y
_atom_site_fract_z
_atom_site_occupancy
Tc1 Tc 0.0000 0.0000 0.0000 1
S1 S 0.5000 0.5000 0.5000 1
I1 I 0.0000 0.5000 0.0000 1
O1 O 0.0000 0.0000 0.5000 1
# * uncorrected energy: -4.39 eV/atom
# * energy above the lowest structure with this stoichiometry: 0.000 eV per atom

***

Record 4
# GGA-PBE TcSI2O, relaxed
data_TcSI2O
_cell_length_a 5.6915
_cell_length_b 5.6915
_cell_length_c 3.5923
_cell_angle_alpha 90.00
_cell_angle_beta 90.00
_cell_angle_gamma 90.00
_space_group_name_H-M_alt 'P 4/m m m'
_space_group_IT_number 123
_space_group_name_Hall '-P 4 2'
loop_
_atom_site_label
_atom_site_type_symbol
_atom_site_fract_x
_atom_site_fract_y
_atom_site_fract_z
_atom_site_occupancy
Tc1 Tc 0.0000 0.0000 0.0000 1
S1 S 0.5000 0.5000 0.5000 1
I1 I 0.0000 0.5000 0.5000 1
O1 O 0.5000 0.5000 0.0000 1
# * uncorrected energy: -3.71 eV/atom
# * energy above the lowest structure with this stoichiometry: 0.685 eV per atom

***

Record 5
# GGA-PBE TiSI2O, relaxed
data_TiSI2O
_cell_length_a 5.5991
_cell_length_b 5.5991
_cell_length_c 3.6281
_cell_angle_alpha 90.00
_cell_angle_beta 90.00
_cell_angle_gamma 90.00
_space_group_name_H-M_alt 'P 4/m m m'
_space_group_IT_number 123
_space_group_name_Hall '-P 4 2'
loop_
_atom_site_label
_atom_site_type_symbol
_atom_site_fract_x
_atom_site_fract_y
_atom_site_fract_z
_atom_site_occupancy
Ti1 Ti 0.0000 0.0000 0.0000 1
S1 S 0.5000 0.5000 0.5000 1
I1 I 0.0000 0.5000 0.5000 1
O1 O 0.5000 0.5000 0.0000 1
# * uncorrected energy: -3.73 eV/atom
# * energy above the lowest structure with this stoichiometry: 0.862 eV per atom

***

Record 6
# GGA-PBE TiSIO2, relaxed
data_TiSIO2
_cell_length_a 3.8197
_cell_length_b 3.8197
_cell_length_c 6.3347
_cell_angle_alpha 90.00
_cell_angle_beta 90.00
_cell_angle_gamma 90.00
_space_group_name_H-M_alt 'P 4/m m m'
_space_group_IT_number 123
_space_group_name_Hall '-P 4 2'
loop_
_atom_site_label
_atom_site_type_symbol
_atom_site_fract_x
_atom_site_fract_y
_atom_site_fract_z
_atom_site_occupancy
Ti1 Ti 0.0000 0.0000 0.0000 1
S1 S 0.5000 0.5000 0.5000 1
I1 I 0.0000 0.0000 0.5000 1
O1 O 0.0000 0.5000 0.0000 1
# * uncorrected energy: -5.81 eV/atom

***

Record 7
# GGA-PBE TiSI2O, relaxed
data_TiSI2O
_cell_length_a 5.6442
_cell_length_b 5.6442
_cell_length_c 3.7268
_cell_angle_alpha 90.00
_cell_angle_beta 90.00
_cell_angle_gamma 90.00
_space_group_name_H-M_alt 'P 4/m m m'
_space_group_IT_number 123
_space_group_name_Hall '-P 4 2'
loop_
_atom_site_label
_atom_site_type_symbol
_atom_site_fract_x
_atom_site_fract_y
_atom_site_fract_z
_atom_site_occupancy
Ti1 Ti 0.0000 0.0000 0.0000 1
S1 S 0.5000 0.5000 0.5000 1
I1 I 0.0000 0.5000 0.0000 1
O1 O 0.0000 0.0000 0.5000 1
# * uncorrected energy: -4.59 eV/atom
# * energy above the lowest structure with this stoichiometry: 0.000 eV per atom

***

Record 8
# GGA-PBE TiSIO2, relaxed
data_TiSIO2
_cell_length_a 3.8213
_cell_length_b 3.8213
_cell_length_c 5.6669
_cell_angle_alpha 90.00
_cell_angle_beta 90.00
_cell_angle_gamma 90.00
_space_group_name_H-M_alt 'P 4/m m m'
_space_group_IT_number 123
_space_group_name_Hall '-P 4 2'
loop_
_atom_site_label
_atom_site_type_symbol
_atom_site_fract_x
_atom_site_fract_y
_atom_site_fract_z
_atom_site_occupancy
Ti1 Ti 0.0000 0.0000 0.0000 1
S1 S 0.5000 0.5000 0.5000 1
I1 I 0.5000 0.5000 0.0000 1
O1 O 0.0000 0.5000 0.5000 1
# * uncorrected energy: -4.37 eV/atom

***

Record 9
# GGA-PBE USI2O6, relaxed
data_USI2O6
_cell_length_a 5.3771
_cell_length_b 5.3771
_cell_length_c 11.3110
_cell_angle_alpha 90.00
_cell_angle_beta 90.00
_cell_angle_gamma 90.00
_space_group_name_H-M_alt 'I 4/m m m'
_space_group_IT_number 139
_space_group_name_Hall '-I 4 2'
loop_
_atom_site_label
_atom_site_type_symbol
_atom_site_fract_x
_atom_site_fract_y
_atom_site_fract_z
_atom_site_occupancy
U1 U 0.0000 0.0000 0.0000 1
S1 S 0.0000 0.0000 0.5000 1
I1 I 0.0000 0.5000 0.2500 1
O1 O 0.0000 0.0000 0.2205 1
O2 O 0.2366 0.2366 0.5000 1
# * uncorrected energy: -5.68 eV/atom